1.
## PrAs2Rh7Pb2 (PBE-GGA)

Data for crystalline PrAs2Rh7Pb2 at its relaxed geometry.

Unit cell a=4.0484 b=4.0484 c=14.1253 alpha=85.07 beta=85.07 gamma=89.60
Atoms (fractional coordinates):
1 Rh 0.3807 0.3807 0.4237
2 Pb 0.8945 0.8945 0.3891
3 Rh 0.5000 0.5000 0.0000
4 Pb 0.1055 0.1055 0.6109
5 Rh 0.4540 0.9534 0.1575
6 As 0.4255 0.4255 0.2506
7 Rh 0.9534 0.4540 0.1575
8 Pr 0.0000 0.0000 0.0000
9 Rh 0.0466 0.5460 0.8425
10 As 0.5745 0.5745 0.7494
11 Rh 0.6193 0.6193 0.5763
12 Rh 0.5460 0.0466 0.8425

Summary:
VASP energy: -6.281 eV/atom
SG: No. 12
Total magnetic moment: 0.00 μB/f.u.
N(E_F): 0.805 states/eV/atom



2.
## InFe2Rh (PBE-GGA)

Data for crystalline InFe2Rh at its relaxed geometry.

Unit cell a=3.7991 b=3.7991 c=4.0957 alpha=90.00 beta=90.00 gamma=90.00
Each line ends with the local moment (μB).
Atoms (fractional coordinates):
1 Fe 0.0000 0.0000 0.0000  2.77
2 Rh 0.0000 0.5000 0.5000  0.38
3 Fe 0.5000 0.5000 0.0000  2.77
4 In 0.5000 0.0000 0.5000  -0.09

Summary:
VASP energy: -6.741 eV/atom
SG: No. 123
Total magnetic moment: 5.83 μB/f.u.
N(E_F): 0.780 states/eV/atom



3.
## AlBiTe2 (PBE-GGA)

Data for crystalline AlBiTe2 at its relaxed geometry.

Unit cell a=9.7017 b=9.7017 c=9.7017 alpha=26.25 beta=26.25 gamma=26.25
Atoms (fractional coordinates):
1 Te 0.0999 0.0999 0.0999
2 Te 0.9001 0.9001 0.9001
3 Al 0.0000 0.0000 0.0000
4 Bi 0.5000 0.5000 0.5000

Summary:
VASP energy: -3.282 eV/atom
SG: No. 166
Formation energy without anion corrections: 0.19 eV/atom
Total magnetic moment: 0.00 μB/f.u.
N(E_F): 0.005 states/eV/atom